# PBE-GGA LiH3F, optimized geometry
data_LiH3F
_space_group_name_H-M_alt 'P m -3 m'
_space_group_IT_number 221
_space_group_name_Hall '-P 4 2 3'
_cell_length_a 3.595
_cell_length_b 3.595
_cell_length_c 3.595
_cell_angle_alpha 90.00
_cell_angle_beta 90.00
_cell_angle_gamma 90.00
loop_
_atom_site_label
_atom_site_type_symbol
_atom_site_fract_x
_atom_site_fract_y
_atom_site_fract_z
Li1 Li 0.000 0.000 0.000
H1 H 0.000 0.000 0.500
F1 F 0.500 0.500 0.500
# E_tot = -2.0633 eV per atom
# size of the total moment = 2.78 μB/f.u.
# distance to the lowest polymorph of the same formula = 0.1061 eV/atom

---

# PBE-GGA LiHF, optimized geometry
data_LiHF
_space_group_name_H-M_alt 'P 1'
_space_group_IT_number 1
_space_group_name_Hall 'P 1'
_cell_length_a 2.699
_cell_length_b 2.707
_cell_length_c 3.986
_cell_angle_alpha 85.08
_cell_angle_beta 89.65
_cell_angle_gamma 90.00
loop_
_atom_site_label
_atom_site_type_symbol
_atom_site_fract_x
_atom_site_fract_y
_atom_site_fract_z
Li1 Li 0.000 0.000 0.000
H1 H 0.503 0.547 0.501
F1 F 0.501 0.512 0.915
# E_tot = -3.4377 eV per atom
# size of the total moment = 0.00 μB/f.u.
# distance to the lowest polymorph of the same formula = 0.8755 eV/atom

---

# PBE-GGA Li5H4F, optimized geometry
data_Li5H4F
_space_group_name_H-M_alt 'R -3 m'
_space_group_IT_number 166
_space_group_name_Hall '-R 3 2"'
_cell_length_a 2.8494
_cell_length_b 2.8494
_cell_length_c 34.9463
_cell_angle_alpha 90.00
_cell_angle_beta 90.00
_cell_angle_gamma 120.00
loop_
_atom_site_label
_atom_site_type_symbol
_atom_site_fract_x
_atom_site_fract_y
_atom_site_fract_z
Li1 Li 0.0000 0.0000 0.0000
Li2 Li 0.0000 0.0000 0.2004
Li3 Li 0.0000 0.0000 0.3993
H1 H 0.0000 0.0000 0.0990
H2 H 0.0000 0.0000 0.3003
F1 F 0.0000 0.0000 0.5000
# E_tot = -3.4073 eV per atom
# size of the total moment = 0.00 μB/f.u.

---

# PBE-GGA Li4H3F, optimized geometry
data_Li4H3F
_space_group_name_H-M_alt 'P m -3 m'
_space_group_IT_number 221
_space_group_name_Hall '-P 4 2 3'
_cell_length_a 4.041
_cell_length_b 4.041
_cell_length_c 4.041
_cell_angle_alpha 90.00
_cell_angle_beta 90.00
_cell_angle_gamma 90.00
loop_
_atom_site_label
_atom_site_type_symbol
_atom_site_fract_x
_atom_site_fract_y
_atom_site_fract_z
Li1 Li 0.000 0.000 0.000
Li2 Li 0.000 0.500 0.500
H1 H 0.000 0.000 0.500
F1 F 0.500 0.500 0.500
# E_tot = -3.4870 eV per atom
# size of the total moment = 0.00 μB/f.u.

---

# PBE-GGA LiHF2, optimized geometry
data_LiHF2
_space_group_name_H-M_alt 'R -3 m'
_space_group_IT_number 166
_space_group_name_Hall '-R 3 2"'
_cell_length_a 2.7545
_cell_length_b 2.7545
_cell_length_c 15.8428
_cell_angle_alpha 90.00
_cell_angle_beta 90.00
_cell_angle_gamma 120.00
loop_
_atom_site_label
_atom_site_type_symbol
_atom_site_fract_x
_atom_site_fract_y
_atom_site_fract_z
Li1 Li 0.0000 0.0000 0.0000
H1 H 0.0000 0.0000 0.5000
F1 F 0.0000 0.0000 0.1063
# E_tot = -3.4544 eV per atom
# size of the total moment = 0.00 μB/f.u.
# distance to the lowest polymorph of the same formula = 1.1356 eV/atom

---

# PBE-GGA Li2HF, optimized geometry
data_Li2HF
_space_group_name_H-M_alt 'I -4 2 d'
_space_group_IT_number 122
_space_group_name_Hall 'I -4 2bw'
_cell_length_a 4.392
_cell_length_b 4.392
_cell_length_c 8.665
_cell_angle_alpha 90.00
_cell_angle_beta 90.00
_cell_angle_gamma 90.00
loop_
_atom_site_label
_atom_site_type_symbol
_atom_site_fract_x
_atom_site_fract_y
_atom_site_fract_z
Li1 Li 0.250 0.250 0.125
H1 H 0.000 0.000 0.000
F1 F 0.000 0.000 0.500
# E_tot = -3.9019 eV per atom
# size of the total moment = 0.00 μB/f.u.
# distance to the lowest polymorph of the same formula = 0.0272 eV/atom

---

# PBE-GGA Li2HF, optimized geometry
data_Li2HF
_space_group_name_H-M_alt 'R -3 m'
_space_group_IT_number 166
_space_group_name_Hall '-R 3 2"'
_cell_length_a 3.1195
_cell_length_b 3.1195
_cell_length_c 16.9209
_cell_angle_alpha 90.00
_cell_angle_beta 90.00
_cell_angle_gamma 120.00
loop_
_atom_site_label
_atom_site_type_symbol
_atom_site_fract_x
_atom_site_fract_y
_atom_site_fract_z
Li1 Li 0.0000 0.0000 0.0997
H1 H 0.0000 0.0000 0.5000
F1 F 0.0000 0.0000 0.0000
# E_tot = -3.6499 eV per atom
# size of the total moment = 0.00 μB/f.u.
# distance to the lowest polymorph of the same formula = 0.2792 eV/atom

---

# PBE-GGA Li2HF4, optimized geometry
data_Li2HF4
_space_group_name_H-M_alt 'P 1 21/m 1'
_space_group_IT_number 11
_space_group_name_Hall '-P 2yb'
_cell_length_a 5.931
_cell_length_b 3.896
_cell_length_c 6.233
_cell_angle_alpha 90.00
_cell_angle_beta 105.64
_cell_angle_gamma 90.00
loop_
_atom_site_label
_atom_site_type_symbol
_atom_site_fract_x
_atom_site_fract_y
_atom_site_fract_z
Li1 Li 0.181 0.250 0.499
Li2 Li 0.311 0.250 0.982
H1 H 0.376 0.750 0.320
F1 F 0.074 0.501 0.746
F2 F 0.345 0.750 0.480
F3 F 0.417 0.750 0.131
# E_tot = -4.1326 eV per atom
# size of the total moment = 0.20 μB/f.u.
# distance to the lowest polymorph of the same formula = 0.0000 eV/atom